1.
A plane-wave DFT calculation with PBE-GGA was carried out for crystalline Tb4Ge3Ir at its relaxed geometry.

Lattice parameters (Å, degrees): 4.209 4.036 10.804 90.00 90.00 90.00
Positions (direct):
Tb (0.000, 0.500, 0.867)
Ge (0.500, 0.000, 0.920)
Tb (0.500, 0.500, 0.352)
Ir (0.500, 0.500, 0.079)
Ge (0.000, 0.500, 0.585)
Tb (0.000, 0.000, 0.135)
Ge (0.000, 0.000, 0.422)
Tb (0.500, 0.000, 0.641)

## Properties
Crystal system ... orthorhombic

---

2.
A plane-wave DFT calculation with PBE-GGA was carried out for crystalline Tb3Ge12Ir5 at its relaxed geometry.

Lattice parameters (Å, degrees): 13.417 13.417 13.417 109.47 109.47 109.47
Positions (direct):
Ir (0.500, 0.000, 0.000)
Ge (0.514, 0.202, 0.077)
Ge (0.064, 0.875, 0.077)
Ge (0.077, 0.375, 0.064)
Ge (0.564, 0.577, 0.375)
Ge (0.514, 0.311, 0.936)
Ge (0.423, 0.436, 0.125)
Tb (0.125, 0.875, 0.750)
Ir (0.375, 0.250, 0.125)
Ge (0.064, 0.189, 0.486)
Tb (0.375, 0.625, 0.250)
Ge (0.298, 0.923, 0.986)
Ge (0.375, 0.077, 0.564)
Ir (0.875, 0.625, 0.750)
Ir (0.500, 0.500, 0.500)
Ir (0.625, 0.875, 0.250)
Ge (0.798, 0.486, 0.423)
Ir (0.000, 0.500, 0.500)
Ge (0.298, 0.375, 0.811)
Ir (0.125, 0.750, 0.375)
Ge (0.202, 0.689, 0.125)
Ir (0.875, 0.250, 0.625)
Ge (0.189, 0.125, 0.702)
Ir (0.000, 0.000, 0.000)
Ge (0.436, 0.423, 0.625)
Ge (0.375, 0.298, 0.311)
Ge (0.986, 0.564, 0.189)
Tb (0.375, 0.750, 0.625)
Ge (0.577, 0.014, 0.202)
Ge (0.202, 0.514, 0.577)
Ge (0.564, 0.986, 0.689)
Ge (0.986, 0.423, 0.298)
Ir (0.500, 0.000, 0.500)
Ge (0.689, 0.486, 0.564)
Ge (0.577, 0.564, 0.875)
Ge (0.689, 0.202, 0.625)
Ge (0.923, 0.625, 0.936)
Ge (0.811, 0.875, 0.298)
Tb (0.875, 0.750, 0.125)
Ge (0.811, 0.936, 0.014)
Ir (0.125, 0.375, 0.250)
Ir (0.375, 0.125, 0.750)
Ir (0.250, 0.875, 0.125)
Tb (0.625, 0.250, 0.375)
Ge (0.702, 0.625, 0.189)
Ge (0.625, 0.702, 0.689)
Ir (0.250, 0.375, 0.625)
Tb (0.250, 0.125, 0.375)
Ir (0.000, 0.000, 0.500)
Ge (0.189, 0.064, 0.986)
Ge (0.125, 0.936, 0.423)
Ge (0.923, 0.298, 0.486)
Tb (0.125, 0.250, 0.875)
Ge (0.936, 0.125, 0.923)
Ir (0.750, 0.625, 0.375)
Ge (0.875, 0.064, 0.577)
Ge (0.875, 0.811, 0.798)
Ir (0.500, 0.500, 0.000)
Ge (0.014, 0.577, 0.702)
Tb (0.750, 0.875, 0.625)
Ge (0.311, 0.514, 0.436)
Tb (0.750, 0.375, 0.125)
Ir (0.750, 0.125, 0.875)
Ir (0.000, 0.500, 0.000)
Ge (0.625, 0.923, 0.436)
Tb (0.625, 0.375, 0.750)
Tb (0.875, 0.125, 0.250)
Ge (0.702, 0.077, 0.014)
Ge (0.798, 0.311, 0.875)
Ge (0.077, 0.702, 0.514)
Ge (0.311, 0.798, 0.375)
Ge (0.486, 0.798, 0.923)
Ir (0.625, 0.750, 0.875)
Ge (0.936, 0.811, 0.514)
Ge (0.014, 0.436, 0.811)
Tb (0.250, 0.625, 0.875)
Ge (0.436, 0.014, 0.311)
Ge (0.423, 0.986, 0.798)
Ge (0.486, 0.689, 0.064)
Ge (0.125, 0.189, 0.202)

## Properties
Crystal system ... cubic

---

3.
A plane-wave DFT calculation with PBE-GGA was carried out for crystalline TbGe3Ir3 at its relaxed geometry.

Lattice parameters (Å, degrees): 6.745 6.745 6.745 90.00 90.00 90.00
Positions (direct):
Ge (0.750, 0.500, 0.000)
Ge (0.500, 0.000, 0.750)
Ir (0.750, 0.000, 0.500)
Ge (0.250, 0.500, 0.000)
Ir (0.000, 0.500, 0.750)
Ir (0.000, 0.500, 0.250)
Ge (0.000, 0.250, 0.500)
Ir (0.500, 0.250, 0.000)
Ir (0.250, 0.000, 0.500)
Ge (0.500, 0.000, 0.250)
Tb (0.000, 0.000, 0.000)
Ge (0.000, 0.750, 0.500)
Tb (0.500, 0.500, 0.500)
Ir (0.500, 0.750, 0.000)

## Properties
Crystal system ... cubic

---

4.
A plane-wave DFT calculation with PBE-GGA was carried out for crystalline Tb3Ge2Ir3 at its relaxed geometry.

Lattice parameters (Å, degrees): 5.618 7.606 15.137 90.00 90.00 90.00
Positions (direct):
Ge (0.871, 0.124, 0.393)
Tb (0.135, 0.475, 0.106)
Ir (0.895, 0.818, 0.750)
Ge (0.129, 0.876, 0.607)
Ge (0.871, 0.124, 0.107)
Ir (0.105, 0.182, 0.250)
Ge (0.129, 0.876, 0.893)
Tb (0.135, 0.475, 0.394)
Ir (0.395, 0.682, 0.250)
Ir (0.093, 0.171, 0.537)
Ge (0.371, 0.376, 0.893)
Tb (0.865, 0.525, 0.894)
Ge (0.629, 0.624, 0.107)
Ge (0.371, 0.376, 0.607)
Ir (0.593, 0.329, 0.463)
Tb (0.365, 0.975, 0.106)
Ge (0.629, 0.624, 0.393)
Ir (0.407, 0.671, 0.537)
Tb (0.906, 0.830, 0.250)
Ir (0.593, 0.329, 0.037)
Tb (0.865, 0.525, 0.606)
Ir (0.907, 0.829, 0.037)
Ir (0.605, 0.318, 0.750)
Tb (0.594, 0.330, 0.250)
Ir (0.407, 0.671, 0.963)
Ir (0.907, 0.829, 0.463)
Tb (0.635, 0.025, 0.606)
Ir (0.093, 0.171, 0.963)
Tb (0.635, 0.025, 0.894)
Tb (0.365, 0.975, 0.394)
Tb (0.406, 0.670, 0.750)
Tb (0.094, 0.170, 0.750)

## Properties
Crystal system ... orthorhombic

---

5.
A plane-wave DFT calculation with PBE-GGA was carried out for crystalline TbGeIr2 at its relaxed geometry.

Lattice parameters (Å, degrees): 7.298 5.638 8.552 90.00 90.00 90.00
Positions (direct):
Tb (0.000, 0.250, 0.674)
Ir (0.300, 0.250, 0.050)
Ir (0.500, 0.000, 0.500)
Ir (0.000, 0.000, 0.000)
Ge (0.000, 0.250, 0.247)
Ge (0.500, 0.750, 0.725)
Ir (0.300, 0.750, 0.950)
Ir (0.700, 0.750, 0.950)
Tb (0.500, 0.250, 0.790)
Ir (0.700, 0.250, 0.050)
Ge (0.000, 0.750, 0.753)
Tb (0.000, 0.750, 0.326)
Tb (0.500, 0.750, 0.210)
Ge (0.500, 0.250, 0.275)
Ir (0.500, 0.500, 0.500)
Ir (0.000, 0.500, 0.000)

## Properties
Crystal system ... orthorhombic

---

6.
A plane-wave DFT calculation with PBE-GGA was carried out for crystalline TbGe3Ir at its relaxed geometry.

Lattice parameters (Å, degrees): 5.822 5.644 6.053 90.00 90.00 89.99
Positions (direct):
Tb (0.923, 0.034, 0.201)
Tb (0.423, 0.319, 0.701)
Ge (0.855, 0.078, 0.701)
Ir (0.161, 0.795, 0.701)
Ir (0.661, 0.558, 0.201)
Ge (0.355, 0.275, 0.201)
Ge (0.470, 0.858, 0.965)
Ge (0.970, 0.494, 0.937)
Ge (0.470, 0.858, 0.437)
Ge (0.970, 0.494, 0.465)

## Properties
Crystal system ... orthorhombic

---

no.,total magnetization (μB per cell),energy of formation (meV per atom)
1,0.000,-849
2,0.000,-38
3,0.000,-65
4,0.000,-879
5,0.497,-131
6,0.000,-563